Compound: NdEuZrFeO6
Source: Alexandria via LeMat-Bulk
Functional: PBE+U
Structure: optimized geometry

As for the density of states at the Fermi level: 1.176 states/eV per atom. The density is 7086 kg/m3. The calculation puts the calculated total energy at -335.2 eV per cell. The crystal system is cubic.

a = 7.966 Å, b = 7.966 Å, c = 7.966 Å
α = 90.00°, β = 90.00°, γ = 90.00°
Space group F-43m (No. 216)
Symmetry-distinct sites (fractional):
Nd 0.000 0.000 0.000 x4
Eu 0.000 0.000 0.500 x4
Zr 0.250 0.250 0.250 x4
Fe 0.250 0.250 0.750 x4
O 0.009 0.250 0.750 x24